# Ti3ZnCu (PBE, optimized geometry)
data_Ti3ZnCu
_cell_length_a 4.585
_cell_length_b 4.585
_cell_length_c 4.585
_cell_angle_alpha 90.00
_cell_angle_beta 90.00
_cell_angle_gamma 90.00
_space_group_name_H-M_alt 'P m -3 m'
_space_group_IT_number 221
_space_group_name_Hall '-P 4 2 3'
loop_
_atom_site_label
_atom_site_fract_x
_atom_site_fract_y
_atom_site_fract_z
Ti1 0.000 0.000 0.500
Zn1 0.500 0.500 0.500
Cu1 0.000 0.000 0.000
# M_tot: 0.0 μB per formula unit
# crystal system: cubic
# formation energy from the elements: 632 meV per atom
# mass density: 4.7 g cm⁻³
# calculated volume: 19.28 Å³ per atom
# DOS at the Fermi energy: 7.69 states/eV/f.u.